[1]
Density functional theory data (PBE-GGA) for a geometry-optimized HfSnRh structure.

The structure in POSCAR format:
```
HfSnRh
1.0
-5.1387 2.8947 4.4615
2.0307 -7.0665 0.7947
2.5737 1.0000 2.3155
Hf Rh Sn
3 3 3
Cartesian
0.0576 -1.1500 3.2367 Hf
2.5144 -3.7716 1.6381 Hf
-1.8194 2.2498 3.8547 Hf
-0.3591 -3.7461 2.0170 Rh
1.2869 0.5000 1.1578 Rh
-2.7489 -0.4257 3.2392 Rh
-1.3853 0.7804 1.2028 Sn
0.5474 -1.9050 0.2142 Sn
-2.2701 -3.0471 3.8392 Sn
```

=====

[2]
Density functional theory data (PBE-GGA) for a geometry-optimized HfSnRh3 structure.

The structure in POSCAR format:
```
HfSnRh3
1.0
-1.0563 4.2513 1.9273
1.2265 -1.6538 4.3202
4.5037 1.4475 -0.7245
Hf Sn Rh
1 1 3
Cartesian
0.0000 0.0000 0.0000 Hf
2.3370 2.0225 2.7615 Sn
2.2519 0.7238 -0.3623 Rh
0.6133 -0.8269 2.1601 Rh
-0.5282 2.1256 0.9637 Rh
```

=====

[3]
Density functional theory data (PBE-GGA) for a geometry-optimized Hf2SnRh6 structure.

The structure in POSCAR format:
```
Hf2SnRh6
1.0
-1.7605 -3.8735 -0.5255
5.5596 -2.5466 0.1461
-2.3704 2.5481 6.5666
Rh Hf Sn
6 2 1
Cartesian
-2.5744 -1.7455 3.9467 Rh
1.2421 -0.8618 2.1679 Rh
0.1866 -3.0102 4.0193 Rh
4.0031 -2.1265 2.2405 Rh
3.2712 -3.8383 -0.1536 Rh
0.5279 -2.5817 -0.2258 Rh
1.7426 -3.4304 1.9401 Hf
-0.3139 -0.4416 4.2471 Hf
0.0000 0.0000 0.0000 Sn
```

=====

[4]
Density functional theory data (PBE-GGA) for a geometry-optimized Hf2SnRh structure.

The structure in POSCAR format:
```
Hf2SnRh
1.0
-2.5172 -2.1098 -2.6814
3.2226 -2.6095 -0.9720
-1.1667 -2.6150 3.1527
Rh Hf Sn
1 2 1
Cartesian
-1.2586 -1.0549 -1.3407 Rh
1.6113 -1.3048 -0.4860 Hf
-0.5833 -1.3075 1.5764 Hf
-0.2306 -3.6672 -0.2503 Sn
```

=====

[5]
Density functional theory data (PBE-GGA) for a geometry-optimized HfSnRh3 structure.

The structure in POSCAR format:
```
HfSnRh3
1.0
-1.5953 -4.2935 1.2343
3.3007 -0.2496 3.3979
-3.0105 2.0015 3.0714
Sn Rh Hf
1 3 1
Cartesian
0.0000 0.0000 0.0000 Sn
-0.7976 -2.1468 0.6171 Rh
1.6504 -0.1248 1.6989 Rh
-1.5052 1.0008 1.5357 Rh
-0.6525 -1.2708 3.8518 Hf
```

=====

[6]
Density functional theory data (PBE-GGA) for a geometry-optimized HfSnRh structure.

The structure in POSCAR format:
```
HfSnRh
1.0
7.3797 0.0000 0.0000
-3.6899 6.3910 0.0000
0.0000 0.0000 7.2265
Sn Rh Hf
6 6 6
Cartesian
5.3813 0.0000 0.0000 Sn
0.9992 1.7307 3.6132 Sn
5.3813 0.0000 3.6132 Sn
-2.6906 4.6603 0.0000 Sn
0.9992 1.7307 0.0000 Sn
-2.6906 4.6603 3.6132 Sn
3.6899 2.1303 3.8730 Rh
0.0000 0.0000 1.8066 Rh
0.0000 4.2607 3.3534 Rh
0.0000 0.0000 5.4199 Rh
3.6899 2.1303 6.9667 Rh
0.0000 4.2607 0.2598 Rh
-0.7610 6.2738 5.4199 Hf
2.9289 0.1172 1.8066 Hf
5.8138 2.4779 1.8066 Hf
2.1239 3.9131 5.4199 Hf
-1.3629 2.5951 5.4199 Hf
2.3269 3.7959 1.8066 Hf
```

=====

[7]
Density functional theory data (PBE-GGA) for a geometry-optimized Hf2SnRh structure.

The structure in POSCAR format:
```
Hf2SnRh
1.0
-3.0557 -0.3856 -2.8043
2.8286 -0.2574 -3.0468
0.1439 -10.1205 -1.8588
Rh Sn Hf
2 2 4
Cartesian
1.4295 -5.3496 -3.9156 Rh
-0.1135 -0.3215 -2.9256 Rh
-1.5127 -5.4137 -3.7944 Sn
0.0000 0.0000 0.0000 Sn
-0.0895 -8.1530 -6.5152 Hf
1.4233 -2.7390 -2.7182 Hf
0.0215 -7.8313 -3.5869 Hf
-1.5217 -2.8034 -2.5995 Hf
```

=====

[8]
Density functional theory data (PBE-GGA) for a geometry-optimized Hf2Sn2Rh structure.

The structure in POSCAR format:
```
Hf2Sn2Rh
1.0
3.8761 0.0000 0.0000
0.0000 3.8761 0.0000
1.9381 1.9381 7.4580
Rh Hf Sn
1 2 2
Cartesian
0.0000 0.0000 0.0000 Rh
1.9381 3.8761 3.7290 Hf
3.8761 1.9381 3.7290 Hf
3.8761 3.8761 6.0973 Sn
1.9381 1.9381 1.3608 Sn
```

=====

| no. | raw total energy (eV per cell) | formation enthalpy at 0 K (meV per atom) |
| --- | --- | --- |
| 1 | -70.4 | -723 |
| 2 | -33.2 | 558 |
| 3 | -70.8 | -305 |
| 4 | -33.2 | -478 |
| 5 | -32.6 | 686 |
| 6 | -141.1 | -734 |
| 7 | -61.7 | 99 |
| 8 | -33.2 | 409 |